Entry 1:
Computed, not measured: crystalline CdSiSe at its relaxed geometry at the PBE level of DFT.

**Space-group type**: Cc, No. 9
**Calculated total energy**: -3.5082 eV per atom
**Energy above the most stable polymorph in this dataset**: 20 meV/atom
**V**: 155.51 Å³ per cell
**Energy relative to the elements, uncorrected**: -0.234 eV/atom

Lattice parameters (Å, degrees): 7.4190 7.4190 3.9755 96.79 96.79 132.03
Element x y z (fractional)
Cd 0.1423 0.8577 0.5000
Cd 0.8577 0.1423 0.0000
Si 0.3355 0.4312 0.2315
Si 0.4312 0.3355 0.7315
Se 0.5152 0.8502 0.3679
Se 0.8502 0.5152 0.8679

---

Entry 2:
Computed, not measured: crystalline CdSiSe at its relaxed geometry at the PBE level of DFT.

**Space-group type**: Fmm2, No. 42
**Calculated total energy**: -2.9851 eV per atom
**Energy above the most stable polymorph in this dataset**: 543 meV/atom
**V**: 72.73 Å³ per cell
**Energy relative to the elements, uncorrected**: 0.289 eV/atom

Lattice parameters (Å, degrees): 8.1677 7.8597 3.2688 83.58 72.99 23.43
Element x y z (fractional)
Cd 0.0000 0.0000 0.0000
Si 0.3200 0.3200 0.6800
Se 0.7102 0.7102 0.2898

---

Entry 3:
Computed, not measured: crystalline CdSiSe at its relaxed geometry at the PBE level of DFT.

**Space-group type**: Cm, No. 8
**Calculated total energy**: -3.4694 eV per atom
**Energy above the most stable polymorph in this dataset**: 59 meV/atom
**V**: 158.30 Å³ per cell
**Energy relative to the elements, uncorrected**: -0.195 eV/atom

Lattice parameters (Å, degrees): 6.3005 6.3005 7.3236 112.88 112.88 36.65
Element x y z (fractional)
Cd 0.0000 0.0000 0.0000
Cd 0.6921 0.6921 0.5167
Si 0.2304 0.2304 0.0773
Si 0.7983 0.7983 0.2724
Se 0.0121 0.0121 0.3888
Se 0.3186 0.3186 0.8383

---

> The highest energy above the most stable polymorph in this dataset belongs to which entry?

number 2

---

> The highest energy above the most stable polymorph in this dataset belongs to which entry?

number 2

---

> V of number 2 (CdSiSe)?

72.73 Å³ per cell

---

Copy entry 3 word for word.
Computed, not measured: crystalline CdSiSe at its relaxed geometry at the PBE level of DFT.

**Space-group type**: Cm, No. 8
**Calculated total energy**: -3.4694 eV per atom
**Energy above the most stable polymorph in this dataset**: 59 meV/atom
**V**: 158.30 Å³ per cell
**Energy relative to the elements, uncorrected**: -0.195 eV/atom

Lattice parameters (Å, degrees): 6.3005 6.3005 7.3236 112.88 112.88 36.65
Element x y z (fractional)
Cd 0.0000 0.0000 0.0000
Cd 0.6921 0.6921 0.5167
Si 0.2304 0.2304 0.0773
Si 0.7983 0.7983 0.2724
Se 0.0121 0.0121 0.3888
Se 0.3186 0.3186 0.8383